First-principles (GGA+U) data for a relaxed YFeP2O8 crystal, as listed in Alexandria.

Values from the calculation:
For the total energy, the calculation gives -7.602 eV per atom. Its crystal system is trigonal.

```
12
Lattice="5.128 0.000 0.000 -2.564 4.441 0.000 0.000 0.000 6.538" Properties=species:S:1:pos:R:3 pbc="T T T"
Y 0.000 0.000 0.000
Fe 0.000 0.000 3.269
P 0.000 2.961 1.436
P 2.564 1.480 5.101
O 0.000 1.491 1.931
O -1.273 3.695 1.931
O 0.000 2.961 6.446
O 1.291 0.746 4.607
O 1.273 3.695 1.931
O 2.564 1.480 0.091
O 3.837 0.746 4.607
O 2.564 2.950 4.607
```